DFT (PBE) results for a geometry-optimized LaNd2Ni structure.

```
LaNd2Ni
1.0
6.597 0.000 0.000
0.000 7.089 0.000
0.000 0.000 10.046
La Nd Ni
4 8 4
Direct
0.644 0.538 0.250
0.856 0.038 0.250
0.356 0.462 0.750
0.144 0.962 0.750
0.173 0.673 0.067
0.327 0.173 0.433
0.827 0.327 0.567
0.673 0.827 0.933
0.827 0.327 0.933
0.673 0.827 0.567
0.173 0.673 0.433
0.327 0.173 0.067
0.064 0.382 0.250
0.436 0.882 0.250
0.936 0.618 0.750
0.564 0.118 0.750
```

Computed properties:
Formation energy in meV per atom: -179
Crystal system: orthorhombic
E_tot in eV/atom: -5.24
N(E_F) in states/eV per cell: 18.4
Excess energy over the best structure of this formula in the dataset in meV per atom: 0